(1)
A plane-wave DFT calculation with PBE was carried out for crystalline UTaH2 at its relaxed geometry.

The structure in extended XYZ format:
```
4
Lattice="2.9769 0.0000 0.0000 1.4885 2.5781 0.0000 1.4885 0.8594 6.2061" Properties=species:S:1:pos:R:3 pbc="T T T"
H 4.4654 2.5781 2.2134
H 1.4885 0.8594 3.9927
Ta 2.9769 1.7187 3.1030
U 0.0000 0.0000 0.0000
```

Results
Its density of states at the Fermi level is 1.005 states/eV/atom.



(2)
A plane-wave DFT calculation with PBE was carried out for crystalline Sb2W at its relaxed geometry.

The structure in extended XYZ format:
```
3
Lattice="-0.9934 3.4116 -3.0963 -3.0783 -0.7979 -3.4785 -4.2254 2.0867 0.0678" Properties=species:S:1:pos:R:3 pbc="T T T"
Sb -2.0743 1.1751 -1.6268
Sb -6.2228 3.5253 -4.8803
W 0.0000 0.0000 0.0000
```

Results
As for the uncorrected formation energy: 0.64 eV/atom. The value obtained for the energy above the most stable polymorph in this dataset is 1.08 eV/f.u. Its density of states at the Fermi level is 0.886 states/eV/atom.



(3)
A plane-wave DFT calculation with PBE was carried out for crystalline SrHgW2 at its relaxed geometry.

The structure in extended XYZ format:
```
4
Lattice="-1.1795 -3.9339 -1.9882 1.8620 -3.9890 -1.1999 -1.6162 -3.6288 5.9824" Properties=species:S:1:pos:R:3 pbc="T T T"
Hg -0.5624 -5.8840 1.7584
Sr -0.2096 -2.8221 0.6112
W -0.7682 -8.7555 2.3512
W -1.4766 -3.4946 5.4530
```

Results
For the formation energy, the calculation gives 3.199 eV/f.u. Its density of states at the Fermi level is 0.711 states/eV/atom.



(4)
A plane-wave DFT calculation with PBE was carried out for crystalline InOsSe2N at its relaxed geometry.

The structure in extended XYZ format:
```
5
Lattice="-3.5239 -0.0058 3.8291 -2.4470 -3.9992 -2.2580 2.1729 -2.4564 1.9960" Properties=species:S:1:pos:R:3 pbc="T T T"
Os -1.8990 -3.2307 1.7835
In 0.0000 0.0000 0.0000
Se -1.7620 -0.0029 1.9145
Se -1.2235 -1.9996 -1.1290
N 1.0864 -1.2282 0.9980
```

Results
As for the uncorrected formation energy: 1.86 eV/atom. The value obtained for the energy above the most stable polymorph in this dataset is 8.18 eV/f.u. Its density of states at the Fermi level is 1.094 states/eV/atom.



(5)
A plane-wave DFT calculation with PBE was carried out for crystalline LiCdTeMoBr at its relaxed geometry.

The structure in extended XYZ format:
```
10
Lattice="-0.1919 0.7293 -3.3809 0.4587 -5.1537 -1.1378 -13.5721 -1.3153 0.4864" Properties=species:S:1:pos:R:3 pbc="T T T"
Te -6.3994 -3.2192 -0.3313
Te -13.5107 -0.9353 -1.2097
Li -2.0296 -0.1967 0.0727
Li -8.6822 -3.0665 -1.9434
Mo 0.0746 -2.2179 -2.2573
Mo -6.8448 -0.6633 0.2453
Cd -4.6752 -0.0791 -1.5263
Cd -11.1360 -3.6782 -0.1616
Br -1.7935 -2.7729 -0.4964
Br -8.9048 -0.4890 -1.3748
```

Results
As for the uncorrected formation energy: -0.01 eV/atom. The value obtained for the energy above the most stable polymorph in this dataset is 1.86 eV/f.u. Its density of states at the Fermi level is 0.624 states/eV/atom.



(6)
A plane-wave DFT calculation with PBE was carried out for crystalline LaAgOs2 at its relaxed geometry.

The structure in extended XYZ format:
```
4
Lattice="-2.0743 -3.4562 3.4738 3.6923 -2.8959 2.5093 -0.6527 5.2078 -0.8768" Properties=species:S:1:pos:R:3 pbc="T T T"
Os 0.8090 -3.1761 2.9916
Os 0.0000 0.0000 0.0000
Ag 1.9243 -0.4321 2.3120
La -0.9590 -0.7123 2.7943
```

Results
For the formation energy, the calculation gives 3.010 eV/f.u. The value obtained for the energy above the most stable polymorph in this dataset is 1.87 eV/f.u. Its density of states at the Fermi level is 1.489 states/eV/atom.



Number 1: E_tot -0.27649 hartree per atom, mass density 14.68 g/cm3. Number 2: E_tot -0.23621 hartree per atom, mass density 9.59 g/cm3. Number 3: E_tot -0.22684 hartree per atom, mass density 11.38 g/cm3. Number 4: E_tot -0.14678 hartree per atom, mass density 7.62 g/cm3. Number 5: E_tot -0.13622 hartree per atom, mass density 5.61 g/cm3. Number 6: E_tot -0.25015 hartree per atom, mass density 13.61 g/cm3.